Record 1
{
  "formula": "LiAsP2",
  "functional": "PBE",
  "state": "optimized geometry",
  "energy_ev_per_cell": -17.7,
  "e_form_ev_per_atom": -0.083,
  "dos_ef_per_ev_fu": 1.50,
  "lattice": [[3.270, 0.000, 0.000], [0.000, 3.254, 0.000], [0.000, 0.000, 6.700]],
  "species": ["P", "Li", "P", "As"],
  "fractional_positions": [[0.000, 0.000, 0.075], [0.500, 0.500, 0.534], [0.500, 0.500, 0.162], [0.000, 0.000, 0.729]]
}


Record 2
{
  "formula": "Li2AsP",
  "functional": "PBE",
  "state": "optimized geometry",
  "energy_ev_per_cell": -15.4,
  "e_form_ev_per_atom": -0.366,
  "dos_ef_per_ev_fu": 0.96,
  "lattice": [[-4.018, -3.972, -0.414], [-0.638, -3.363, -4.514], [3.576, 1.855, 3.983]],
  "species": ["Li", "As", "Li", "P"],
  "fractional_positions": [[0.274, 0.774, 0.500], [0.693, 0.193, 0.500], [0.014, 0.014, 0.000], [0.519, 0.519, 0.000]]
}


Record 3
{
  "formula": "LiAs2P",
  "functional": "PBE",
  "state": "optimized geometry",
  "energy_ev_per_cell": -16.3,
  "e_form_ev_per_atom": 0.087,
  "dos_ef_per_ev_fu": 1.40,
  "lattice": [[4.164, 0.000, 0.000], [0.000, 4.157, 0.000], [0.000, 0.000, 3.948]],
  "species": ["As", "Li", "As", "P"],
  "fractional_positions": [[0.000, 0.000, 0.000], [0.500, 0.000, 0.500], [0.500, 0.500, 0.000], [0.000, 0.500, 0.500]]
}


Record 4
{
  "formula": "LiAsP",
  "functional": "PBE",
  "state": "optimized geometry",
  "energy_ev_per_cell": -12.4,
  "e_form_ev_per_atom": -0.127,
  "dos_ef_per_ev_fu": 0.82,
  "lattice": [[5.213, 0.011, 0.000], [2.959, 4.291, 0.000], [-4.086, -2.151, 2.419]],
  "species": ["Li", "As", "P"],
  "fractional_positions": [[0.333, 0.333, 0.000], [0.038, 0.038, 0.000], [0.629, 0.629, 0.000]]
}